1.
A plane-wave DFT calculation with GGA-PBEsol was carried out for an optimized crystal structure of ZnMoCl2.

a = 2.9602 Å, b = 4.1537 Å, c = 5.4328 Å
α = 90.00°, β = 90.00°, γ = 90.00°
Closest atoms and distances in Å follow each position.
Positions (direct):
Zn (0.0000, 0.0000, 0.0000)  4 Cl 2.55
Mo (0.5000, 0.0000, 0.5000)  4 Cl 2.55
Cl (0.0000, 0.5000, 0.5000)  4 Mo 2.55
Cl (0.5000, 0.5000, 0.0000)  4 Zn 2.55

Output
Formation energy (no corrections): 0.330 eV/atom
Fermi-level density of states: 3.21 states/eV per cell
Space group: Pmmm, No. 47

=====

2.
A plane-wave DFT calculation with GGA-PBEsol was carried out for an optimized crystal structure of LaAs2Rh.

a = 4.5228 Å, b = 4.0909 Å, c = 4.6012 Å
α = 90.00°, β = 104.51°, γ = 90.00°
Closest atoms and distances in Å follow each position.
Positions (direct):
La (0.0000, 0.0000, 0.0000)  2 Rh 2.79, 4 As 3.00
As (0.3306, 0.5000, 0.7218)  2 Rh 2.49, 1 As 2.63
As (0.6694, 0.5000, 0.2782)  2 Rh 2.49, 1 As 2.63
Rh (0.5000, 0.0000, 0.5000)  4 As 2.49

Output
Fermi-level density of states: 0.45 states/eV per cell
Space group: P2/m, No. 10
Total DFT energy (no corrections): -6.90 eV/atom

=====

3.
A plane-wave DFT calculation with GGA-PBEsol was carried out for an optimized crystal structure of Y3CdRe.

a = 5.3175 Å, b = 5.3175 Å, c = 5.3175 Å
α = 90.00°, β = 90.00°, γ = 90.00°
Closest atoms and distances in Å follow each position.
Positions (direct):
Y (0.0000, 0.0000, 0.5000)  2 Re 2.66
Y (0.0000, 0.5000, 0.0000)  2 Re 2.66
Y (0.5000, 0.0000, 0.0000)  2 Re 2.66
Cd (0.5000, 0.5000, 0.5000)  12 Y 3.76
Re (0.0000, 0.0000, 0.0000)  6 Y 2.66

Output
Fermi-level density of states: 5.93 states/eV per cell
Space group: Pm-3m, No. 221
Total DFT energy (no corrections): -6.71 eV/atom

=====

4.
A plane-wave DFT calculation with GGA-PBEsol was carried out for an optimized crystal structure of ZrGeP2O.

a = 4.7070 Å, b = 4.7070 Å, c = 3.6327 Å
α = 90.00°, β = 90.00°, γ = 90.00°
Closest atoms and distances in Å follow each position.
Positions (direct):
Zr (0.0000, 0.0000, 0.0000)  8 P 2.97, 4 O 3.33
Ge (0.5000, 0.5000, 0.5000)  2 O 1.82
P (0.0000, 0.5000, 0.5000)  2 Ge 2.35
P (0.5000, 0.0000, 0.5000)  2 Ge 2.35
O (0.5000, 0.5000, 0.0000)  2 Ge 1.82

Output
Formation energy (no corrections): -0.226 eV/atom
Fermi-level density of states: 1.90 states/eV per cell
Space group: P4/mmm, No. 123

=====

5.
A plane-wave DFT calculation with GGA-PBEsol was carried out for an optimized crystal structure of ZrAs2OsSe.

a = 5.0876 Å, b = 5.0876 Å, c = 4.9372 Å
α = 90.00°, β = 90.00°, γ = 90.00°
Closest atoms and distances in Å follow each position.
Positions (direct):
Zr (0.0000, 0.0000, 0.0000)  2 Se 2.47, 4 As 2.54
As (0.0000, 0.5000, 0.0000)  2 Zr 2.54
As (0.5000, 0.0000, 0.0000)  2 Zr 2.54
Os (0.5000, 0.5000, 0.5000)  8 As 3.54, 4 Se 3.60
Se (0.0000, 0.0000, 0.5000)  2 Zr 2.47

Output
Formation energy (no corrections): 1.331 eV/atom
Fermi-level density of states: 6.70 states/eV per cell
Space group: P4/mmm, No. 123

=====

6.
A plane-wave DFT calculation with GGA-PBEsol was carried out for an optimized crystal structure of LaTlCrSn2.

a = 5.5518 Å, b = 5.5518 Å, c = 5.0250 Å
α = 90.00°, β = 90.00°, γ = 90.00°
Closest atoms and distances in Å follow each position.
Positions (direct):
La (0.0000, 0.0000, 0.0000)  8 Sn 3.74, 4 Cr 3.93
Tl (0.5000, 0.5000, 0.5000)  2 Cr 2.51, 4 Sn 2.78
Cr (0.5000, 0.5000, 0.0000)  2 Tl 2.51
Sn (0.0000, 0.5000, 0.5000)  2 Tl 2.78
Sn (0.5000, 0.0000, 0.5000)  2 Tl 2.78

Output
Fermi-level density of states: 3.98 states/eV per cell
Space group: P4/mmm, No. 123
Total DFT energy (no corrections): -4.75 eV/atom